Entry 1:
Below is a relaxed structure of Sr2MnHAu, with properties calculated at the PBE level.

CIF file:
```
data_Sr2MnHAu
_chemical_formula_sum 'Sr2 Mn1 H1 Au1'
_cell_length_a 5.5275
_cell_length_b 5.5275
_cell_length_c 3.8424
_cell_angle_alpha 90.00
_cell_angle_beta 90.00
_cell_angle_gamma 90.00
_space_group_name_H-M_alt 'P 4/m m m'
_space_group_IT_number 123
_space_group_name_Hall '-P 4 2'
loop_
_atom_site_label
_atom_site_type_symbol
_atom_site_fract_x
_atom_site_fract_y
_atom_site_fract_z
Sr1 Sr 0.0000 0.5000 0.0000
Mn1 Mn 0.0000 0.0000 0.5000
H1 H 0.5000 0.5000 0.0000
Au1 Au 0.5000 0.5000 0.5000
```

Summary:
Theoretical density, g/cm3: 6.06
Energy, eV per atom: -3.865

Entry 2:
Below is a relaxed structure of Ta2MnHAu, with properties calculated at the PBE level.

CIF file:
```
data_Ta2MnHAu
_chemical_formula_sum 'Ta2 Mn1 H1 Au1'
_cell_length_a 4.1086
_cell_length_b 4.1086
_cell_length_c 3.9062
_cell_angle_alpha 90.00
_cell_angle_beta 90.00
_cell_angle_gamma 90.00
_space_group_name_H-M_alt 'P 4/m m m'
_space_group_IT_number 123
_space_group_name_Hall '-P 4 2'
loop_
_atom_site_label
_atom_site_type_symbol
_atom_site_fract_x
_atom_site_fract_y
_atom_site_fract_z
Ta1 Ta 0.0000 0.5000 0.0000
Mn1 Mn 0.0000 0.0000 0.5000
H1 H 0.0000 0.0000 0.0000
Au1 Au 0.5000 0.5000 0.5000
```

Summary:
Theoretical density, g/cm3: 15.48
Energy, eV per atom: -7.908

Entry 3:
Below is a relaxed structure of Ti2MnHAu, with properties calculated at the PBE level.

CIF file:
```
data_Ti2MnHAu
_chemical_formula_sum 'Ti2 Mn1 H1 Au1'
_cell_length_a 4.1877
_cell_length_b 4.1877
_cell_length_c 3.6006
_cell_angle_alpha 90.00
_cell_angle_beta 90.00
_cell_angle_gamma 90.00
_space_group_name_H-M_alt 'P 4/m m m'
_space_group_IT_number 123
_space_group_name_Hall '-P 4 2'
loop_
_atom_site_label
_atom_site_type_symbol
_atom_site_fract_x
_atom_site_fract_y
_atom_site_fract_z
Ti1 Ti 0.0000 0.5000 0.0000
Mn1 Mn 0.0000 0.0000 0.5000
H1 H 0.0000 0.0000 0.0000
Au1 Au 0.5000 0.5000 0.5000
```

Summary:
Theoretical density, g/cm3: 9.17
Energy, eV per atom: -6.590

Entry 4:
Below is a relaxed structure of TiMn2HAu, with properties calculated at the PBE level.

CIF file:
```
data_TiMn2HAu
_chemical_formula_sum 'Ti1 Mn2 H1 Au1'
_cell_length_a 3.8942
_cell_length_b 3.8942
_cell_length_c 3.9410
_cell_angle_alpha 90.00
_cell_angle_beta 90.00
_cell_angle_gamma 90.00
_space_group_name_H-M_alt 'P 4/m m m'
_space_group_IT_number 123
_space_group_name_Hall '-P 4 2'
loop_
_atom_site_label
_atom_site_type_symbol
_atom_site_fract_x
_atom_site_fract_y
_atom_site_fract_z
Ti1 Ti 0.0000 0.0000 0.0000
Mn1 Mn 0.0000 0.5000 0.5000
H1 H 0.0000 0.0000 0.5000
Au1 Au 0.5000 0.5000 0.0000
```

Summary:
Theoretical density, g/cm3: 9.88
Energy, eV per atom: -6.725

Entry 5:
Below is a relaxed structure of MnTlHAu2, with properties calculated at the PBE level.

CIF file:
```
data_MnTlHAu2
_chemical_formula_sum 'Mn1 Tl1 H1 Au2'
_cell_length_a 4.0143
_cell_length_b 4.0143
_cell_length_c 5.1830
_cell_angle_alpha 90.00
_cell_angle_beta 90.00
_cell_angle_gamma 90.00
_space_group_name_H-M_alt 'P 4/m m m'
_space_group_IT_number 123
_space_group_name_Hall '-P 4 2'
loop_
_atom_site_label
_atom_site_type_symbol
_atom_site_fract_x
_atom_site_fract_y
_atom_site_fract_z
Mn1 Mn 0.0000 0.0000 0.0000
Tl1 Tl 0.5000 0.5000 0.0000
H1 H 0.5000 0.5000 0.5000
Au1 Au 0.0000 0.5000 0.5000
```

Summary:
Theoretical density, g/cm3: 13.01
Energy, eV per atom: -3.930

Entry 6:
Below is a relaxed structure of Y2MnHAu, with properties calculated at the PBE level.

CIF file:
```
data_Y2MnHAu
_chemical_formula_sum 'Y2 Mn1 H1 Au1'
_cell_length_a 4.9491
_cell_length_b 4.9491
_cell_length_c 3.7227
_cell_angle_alpha 90.00
_cell_angle_beta 90.00
_cell_angle_gamma 90.00
_space_group_name_H-M_alt 'P 4/m m m'
_space_group_IT_number 123
_space_group_name_Hall '-P 4 2'
loop_
_atom_site_label
_atom_site_type_symbol
_atom_site_fract_x
_atom_site_fract_y
_atom_site_fract_z
Y1 Y 0.0000 0.5000 0.0000
Mn1 Mn 0.0000 0.0000 0.5000
H1 H 0.0000 0.0000 0.0000
Au1 Au 0.5000 0.5000 0.5000
```

Summary:
Theoretical density, g/cm3: 7.84
Energy, eV per atom: -6.103

Entry 7:
Below is a relaxed structure of Mn2ZnHAu, with properties calculated at the PBE level.

CIF file:
```
data_Mn2ZnHAu
_chemical_formula_sum 'Mn2 Zn1 H1 Au1'
_cell_length_a 3.8653
_cell_length_b 3.8653
_cell_length_c 4.0731
_cell_angle_alpha 90.00
_cell_angle_beta 90.00
_cell_angle_gamma 90.00
_space_group_name_H-M_alt 'P 4/m m m'
_space_group_IT_number 123
_space_group_name_Hall '-P 4 2'
loop_
_atom_site_label
_atom_site_type_symbol
_atom_site_fract_x
_atom_site_fract_y
_atom_site_fract_z
Mn1 Mn 0.0000 0.5000 0.0000
Zn1 Zn 0.0000 0.0000 0.5000
H1 H 0.5000 0.5000 0.0000
Au1 Au 0.5000 0.5000 0.5000
```

Summary:
Energy relative to the lowest polymorph listed for this composition, eV per atom: 0.055
Theoretical density, g/cm3: 10.19

Entry 8:
Below is a relaxed structure of Mn2ZnHAu, with properties calculated at the PBE level.

CIF file:
```
data_Mn2ZnHAu
_chemical_formula_sum 'Mn2 Zn1 H1 Au1'
_cell_length_a 3.8242
_cell_length_b 3.8242
_cell_length_c 4.1235
_cell_angle_alpha 90.00
_cell_angle_beta 90.00
_cell_angle_gamma 90.00
_space_group_name_H-M_alt 'P 4/m m m'
_space_group_IT_number 123
_space_group_name_Hall '-P 4 2'
loop_
_atom_site_label
_atom_site_type_symbol
_atom_site_fract_x
_atom_site_fract_y
_atom_site_fract_z
Mn1 Mn 0.0000 0.5000 0.0000
Zn1 Zn 0.0000 0.0000 0.5000
H1 H 0.0000 0.0000 0.0000
Au1 Au 0.5000 0.5000 0.5000
```

Summary:
Energy relative to the lowest polymorph listed for this composition, eV per atom: 0.000
Theoretical density, g/cm3: 10.28